No. 1
Density functional theory data (PBE) for a relaxed structure of Zn8Ag2Au.

Unit cell a=4.953 b=6.575 c=7.011 alpha=62.04 beta=79.15 gamma=66.33
Atoms (fractional coordinates):
Zn1 0.500 0.781 0.439
Zn2 0.785 0.099 0.226
Zn3 0.500 0.219 0.561
Zn4 0.785 0.325 0.774
Zn5 0.215 0.675 0.226
Zn6 0.215 0.901 0.774
Zn7 0.724 0.566 0.000
Zn8 0.276 0.434 0.000
Ag1 0.000 0.697 0.607
Ag2 0.000 0.303 0.393
Au1 0.500 0.000 0.000

## Properties
ΔH_f (0 K), eV/atom: 0.00
M_tot, μB/cell: 0.00

No. 2
Density functional theory data (PBE) for a relaxed structure of Zn4AgAu.

Unit cell a=5.088 b=5.088 c=5.088 alpha=60.00 beta=60.00 gamma=60.00
Atoms (fractional coordinates):
Ag1 0.750 0.750 0.750
Zn1 0.375 0.875 0.375
Zn2 0.375 0.375 0.375
Zn3 0.375 0.375 0.875
Zn4 0.875 0.375 0.375
Au1 0.000 0.000 0.000

## Properties
ΔH_f (0 K), eV/atom: -0.06
Polymorph energy (0 for the lowest one), meV per atom: 30
M_tot, μB/cell: 0.00

No. 3
Density functional theory data (PBE) for a relaxed structure of Zn4AgAu.

Unit cell a=4.631 b=7.046 c=8.408 alpha=125.86 beta=89.87 gamma=114.45
Atoms (fractional coordinates):
Zn1 0.995 0.492 0.165
Zn2 0.252 0.005 0.921
Zn3 0.505 0.508 0.335
Zn4 0.748 0.995 0.079
Zn5 0.005 0.508 0.835
Zn6 0.752 0.005 0.421
Zn7 0.248 0.995 0.579
Zn8 0.495 0.492 0.665
Ag1 0.250 0.000 0.250
Ag2 0.750 0.000 0.750
Au1 0.000 0.500 0.500
Au2 0.500 0.500 0.000

## Properties
ΔH_f (0 K), eV/atom: -0.09
Polymorph energy (0 for the lowest one), meV per atom: 0
M_tot, μB/cell: 0.00

No. 4
Density functional theory data (PBE) for a relaxed structure of ZnAg4Au7.

Unit cell a=5.226 b=7.581 c=7.623 alpha=81.04 beta=92.40 gamma=48.97
Atoms (fractional coordinates):
Ag1 0.745 0.927 0.664
Ag2 0.754 0.575 0.321
Ag3 0.255 0.073 0.336
Ag4 0.246 0.425 0.679
Au1 0.179 0.579 0.007
Au2 0.988 0.191 0.670
Au3 0.821 0.421 0.993
Au4 0.500 0.000 0.000
Au5 0.461 0.701 0.644
Au6 0.012 0.809 0.330
Au7 0.539 0.299 0.356
Zn1 0.000 0.000 0.000

## Properties
ΔH_f (0 K), eV/atom: -0.01
Polymorph energy (0 for the lowest one), meV per atom: 0
M_tot, μB/cell: 0.00